First-principles (PBE) data for a geometry-optimized Ho3Zn4Ni2 structure, as listed in Alexandria.

For the formation enthalpy at 0 K, the calculation gives -0.40 eV/atom. As for the density of states at the Fermi level: 5.77 states/eV/f.u. The value obtained for the magnetization is 0.00 μB/cell.

The structure belongs to space group C2/m (No. 12); the cell edges are 10.506, 4.289 and 8.267 Å and the angles 90.00°, 115.37° and 90.00°. The asymmetric unit holds Ho at (0.000, 0.000, 0.000), Ho at (0.184, 0.500, 0.641), Zn at (0.029, 0.000, 0.365), Zn at (0.216, 0.500, 0.054) and Ni at (0.095, 0.500, 0.261).